! SrLiSi2Pd, optimized geometry, DFT GGA-PBE; values from VASP
&SYSTEM
  ibrav = 0, nat = 5, ntyp = 4
/
ATOMIC_SPECIES
Si 28.09 Si.upf
Sr 87.62 Sr.upf
Li 6.94 Li.upf
Pd 106.42 Pd.upf
CELL_PARAMETERS angstrom
4.3462 0.0000 0.0000
0.0000 4.3462 0.0000
-2.1731 -2.1731 5.0192
ATOMIC_POSITIONS crystal
Si 0.6177 0.6177 0.2353
Sr 0.0000 0.0000 0.0000
Li 0.2500 0.7500 0.5000
Si 0.3823 0.3823 0.7647
Pd 0.7500 0.2500 0.5000
! **Total moment**: 0.000 μB per formula unit
! **Symmetry**: I-4m2
! **Formation energy without anion corrections**: -0.5409 eV per atom
! **DOS at the Fermi energy**: 2.11 states/eV/f.u.

=====

! TiTl, optimized geometry, DFT GGA-PBE; values from VASP
&SYSTEM
  ibrav = 0, nat = 16, ntyp = 2
/
ATOMIC_SPECIES
Ti 47.87 Ti.upf
Tl 204.38 Tl.upf
CELL_PARAMETERS angstrom
8.9688 0.0000 0.0000
0.0000 8.9688 0.0000
0.0000 0.0000 4.6173
ATOMIC_POSITIONS crystal
Ti 0.3213 0.3213 0.5000
Ti 0.8213 0.8213 0.0000
Tl 0.0000 0.2747 0.5000
Tl 0.2253 0.5000 0.0000
Tl 0.5000 0.7747 0.0000
Ti 0.8213 0.1787 0.0000
Tl 0.7747 0.5000 0.0000
Tl 0.0000 0.7253 0.5000
Ti 0.6787 0.6787 0.5000
Ti 0.1787 0.1787 0.0000
Ti 0.6787 0.3213 0.5000
Tl 0.7253 0.0000 0.5000
Tl 0.2747 0.0000 0.5000
Tl 0.5000 0.2253 0.0000
Ti 0.3213 0.6787 0.5000
Ti 0.1787 0.8213 0.0000
! **Total moment**: 1.079 μB per formula unit
! **Symmetry**: I4/mmm
! **Energy of formation from the pure elements**: 275 meV per atom
! **DOS at the Fermi energy**: 2.01 states/eV/f.u.

=====

! KPW2, optimized geometry, DFT GGA-PBE; values from VASP
&SYSTEM
  ibrav = 0, nat = 4, ntyp = 3
/
ATOMIC_SPECIES
P 30.97 P.upf
K 39.10 K.upf
W 183.84 W.upf
CELL_PARAMETERS angstrom
5.5820 -0.0022 0.0000
2.8265 4.8135 0.0000
-4.2043 -2.4057 2.7742
ATOMIC_POSITIONS crystal
P 0.7500 0.2500 0.5000
K 0.2500 0.7500 0.5000
W 0.0000 0.0000 0.0000
W 0.5000 0.5000 0.0000
! **Total moment**: 0.000 μB per formula unit
! **Energy above the lowest structure with this stoichiometry**: 1.197 eV per atom
! **Symmetry**: I4/mmm
! **Energy of formation from the pure elements**: 1622 meV per atom
! **DOS at the Fermi energy**: 4.37 states/eV/f.u.

=====

! DyEr2Sc, optimized geometry, DFT GGA-PBE; values from VASP
&SYSTEM
  ibrav = 0, nat = 4, ntyp = 3
/
ATOMIC_SPECIES
Dy 162.50 Dy.upf
Er 167.26 Er.upf
Sc 44.96 Sc.upf
CELL_PARAMETERS angstrom
-2.5178 -2.2324 0.8406
1.5507 -2.4606 -1.8896
5.0685 -2.7849 7.7856
ATOMIC_POSITIONS crystal
Dy 0.5000 0.5000 0.5000
Er 0.0000 0.0000 0.2396
Er 0.0000 0.0000 0.7604
Sc 0.5000 0.5000 0.0000
! **Total moment**: 0.000 μB per formula unit
! **Energy above the lowest structure with this stoichiometry**: 0.025 eV per atom
! **Symmetry**: P4/mmm
! **Energy of formation from the pure elements**: 41 meV per atom
! **DOS at the Fermi energy**: 5.90 states/eV/f.u.

=====

! Na2Tl3PbCl6, optimized geometry, DFT GGA-PBE; values from VASP
&SYSTEM
  ibrav = 0, nat = 12, ntyp = 4
/
ATOMIC_SPECIES
Cl 35.45 Cl.upf
Pb 207.20 Pb.upf
Na 22.99 Na.upf
Tl 204.38 Tl.upf
CELL_PARAMETERS angstrom
7.0639 -0.0066 -0.0084
-3.5359 6.1152 -0.0084
-1.1854 -2.0525 8.1628
ATOMIC_POSITIONS crystal
Cl 0.5921 0.9325 0.7984
Pb 0.0000 0.0000 0.0000
Cl 0.9325 0.5921 0.7984
Na 0.3330 0.6670 0.0000
Tl 0.5000 0.5000 0.5000
Tl 0.1641 0.8359 0.5000
Tl 0.8359 0.1641 0.5000
Na 0.6670 0.3330 0.0000
Cl 0.2741 0.2741 0.8015
Cl 0.4079 0.0675 0.2016
Cl 0.7259 0.7259 0.1985
Cl 0.0675 0.4079 0.2016
! **Total moment**: 0.001 μB per formula unit
! **Symmetry**: C2/m
! **Formation energy without anion corrections**: -1.1576 eV per atom
! **DOS at the Fermi energy**: 4.17 states/eV/f.u.

=====

! Na2HgBr, optimized geometry, DFT GGA-PBE; values from VASP
&SYSTEM
  ibrav = 0, nat = 4, ntyp = 3
/
ATOMIC_SPECIES
Hg 200.59 Hg.upf
Na 22.99 Na.upf
Br 79.90 Br.upf
CELL_PARAMETERS angstrom
0.0000 3.8396 3.8396
3.8396 0.0000 3.8396
3.8396 3.8396 0.0000
ATOMIC_POSITIONS crystal
Hg 0.5000 0.5000 0.5000
Na 0.2500 0.2500 0.2500
Br 0.0000 0.0000 0.0000
Na 0.7500 0.7500 0.7500
! **Total moment**: 0.000 μB per formula unit
! **Energy above the lowest structure with this stoichiometry**: 0.132 eV per atom
! **Symmetry**: Fm-3m
! **Formation energy without anion corrections**: -0.6477 eV per atom
! **DOS at the Fermi energy**: 1.52 states/eV/f.u.

=====

! CdCo2Ir, optimized geometry, DFT GGA-PBE; values from VASP
&SYSTEM
  ibrav = 0, nat = 4, ntyp = 3
/
ATOMIC_SPECIES
Ir 192.22 Ir.upf
Co 58.93 Co.upf
Cd 112.41 Cd.upf
CELL_PARAMETERS angstrom
-0.5755 -1.9059 -1.8109
-0.5538 -0.5768 2.5697
-8.2268 3.4360 -1.0018
ATOMIC_POSITIONS crystal
Ir 0.5000 0.5000 0.2500
Co 0.0000 0.0000 0.0144
Cd 0.5000 0.5000 0.7500
Co 0.0000 0.0000 0.4856
! **Total moment**: 4.165 μB per formula unit
! **Symmetry**: Cmmm
! **Energy of formation from the pure elements**: 372 meV per atom
! **DOS at the Fermi energy**: 4.58 states/eV/f.u.

=====

! AlPIr2, optimized geometry, DFT GGA-PBE; values from VASP
&SYSTEM
  ibrav = 0, nat = 4, ntyp = 3
/
ATOMIC_SPECIES
P 30.97 P.upf
Al 26.98 Al.upf
Ir 192.22 Ir.upf
CELL_PARAMETERS angstrom
4.2705 -0.0095 0.0148
3.2882 2.7249 0.0148
0.9246 0.3322 4.8108
ATOMIC_POSITIONS crystal
P 0.7500 0.7500 0.7500
Al 0.2500 0.2500 0.2500
Ir 0.5008 0.5008 0.5085
Ir 0.9992 0.9992 0.9915
! **Total moment**: 0.000 μB per formula unit
! **Energy above the lowest structure with this stoichiometry**: 0.055 eV per atom
! **Symmetry**: C2/m
! **Energy of formation from the pure elements**: -371 meV per atom
! **DOS at the Fermi energy**: 2.11 states/eV/f.u.

=====

! Li2UInS4, optimized geometry, DFT GGA-PBE; values from VASP
&SYSTEM
  ibrav = 0, nat = 8, ntyp = 4
/
ATOMIC_SPECIES
Li 6.94 Li.upf
S 32.06 S.upf
U 238.03 U.upf
In 114.82 In.upf
CELL_PARAMETERS angstrom
5.4241 0.0028 0.0000
-0.0027 5.4241 -0.0005
-2.7107 -2.7139 5.6114
ATOMIC_POSITIONS crystal
Li 0.0000 0.0001 0.0000
S 0.7436 0.7434 0.4872
Li 0.2500 0.7499 0.5000
S 0.0070 0.5071 0.0139
U 0.5000 0.5002 0.0000
S 0.2564 0.2563 0.5128
In 0.7500 0.2498 0.5000
S 0.4930 0.9932 0.9861
! **Total moment**: 2.284 μB per formula unit
! **Symmetry**: I-4m2
! **Formation energy without anion corrections**: -1.1062 eV per atom
! **DOS at the Fermi energy**: 6.31 states/eV/f.u.

=====

! Co2ICl, optimized geometry, DFT GGA-PBE; values from VASP
&SYSTEM
  ibrav = 0, nat = 4, ntyp = 3
/
ATOMIC_SPECIES
I 126.90 I.upf
Co 58.93 Co.upf
Cl 35.45 Cl.upf
CELL_PARAMETERS angstrom
0.0000 3.2723 3.2723
3.2723 0.0000 3.2723
3.2723 3.2723 0.0000
ATOMIC_POSITIONS crystal
I 0.5000 0.5000 0.5000
Co 0.2500 0.2500 0.2500
Cl 0.0000 0.0000 0.0000
Co 0.7500 0.7500 0.7500
! **Total moment**: 4.000 μB per formula unit
! **Energy above the lowest structure with this stoichiometry**: 0.462 eV per atom
! **Symmetry**: Fm-3m
! **Formation energy without anion corrections**: 0.7087 eV per atom
! **DOS at the Fermi energy**: 5.04 states/eV/f.u.

=====

! SrCu2Pb, optimized geometry, DFT GGA-PBE; values from VASP
&SYSTEM
  ibrav = 0, nat = 4, ntyp = 3
/
ATOMIC_SPECIES
Pb 207.20 Pb.upf
Cu 63.55 Cu.upf
Sr 87.62 Sr.upf
CELL_PARAMETERS angstrom
-2.1067 3.4459 3.6171
-4.0320 -2.6843 2.4358
5.1610 -1.4730 -0.7677
ATOMIC_POSITIONS crystal
Pb 0.5000 0.5000 0.0000
Cu 0.2500 0.7500 0.5000
Cu 0.0000 0.0000 0.0000
Sr 0.7500 0.2500 0.5000
! **Total moment**: 0.000 μB per formula unit
! **Symmetry**: I-4m2
! **Energy of formation from the pure elements**: 171 meV per atom
! **DOS at the Fermi energy**: 1.89 states/eV/f.u.

=====

! SrAc2Sc, optimized geometry, DFT GGA-PBE; values from VASP
&SYSTEM
  ibrav = 0, nat = 4, ntyp = 3
/
ATOMIC_SPECIES
Sc 44.96 Sc.upf
Ac 227.00 Ac.upf
Sr 87.62 Sr.upf
CELL_PARAMETERS angstrom
3.8351 0.0000 0.0000
1.9176 3.3213 0.0000
1.9176 1.1071 13.2897
ATOMIC_POSITIONS crystal
Sc 0.5000 0.5000 0.5000
Ac 0.9030 0.9030 0.2910
Ac 0.0970 0.0970 0.7090
Sr 0.0000 0.0000 0.0000
! **Total moment**: 0.000 μB per formula unit
! **Energy above the lowest structure with this stoichiometry**: 0.155 eV per atom
! **Symmetry**: R-3m
! **Energy of formation from the pure elements**: 239 meV per atom
! **DOS at the Fermi energy**: 6.07 states/eV/f.u.